The following is a GGA-PBE calculation of Li2ScCu9 after structural relaxation, from Alexandria.

abc: 4.8748 4.8748 24.4728
angles: 90.00 90.00 120.00
Space group R-3m (No. 166, hexagonal axes)
Asymmetric unit:
1 Li 0.0000 0.0000 0.1464 (multiplicity 6)
2 Sc 0.0000 0.0000 0.0000 (multiplicity 3)
3 Cu 0.0000 0.0000 0.3328 (multiplicity 6)
4 Cu 0.0000 0.0000 0.5000 (multiplicity 3)
5 Cu 0.0011 0.5006 0.9158 (multiplicity 18)

Its formation energy is -0.089 eV per atom. The total magnetic moment comes out at 0.00 μB per cell. As for the energy: -4.008 eV per atom.